A relaxed structure of K4AgMo. Source: the Alexandria database, functional GGA-PBE.

Lattice parameters (Å, degrees): 10.217 10.217 10.217 90.00 90.00 90.00
Space group F-43m (No. 216)
Unique sites:
K1 0.125 0.125 0.125 (multiplicity 16)
Ag1 0.000 0.000 0.500 (multiplicity 4)
Mo1 0.250 0.250 0.750 (multiplicity 4)

Uncorrected energy = -1.93 eV/atom
Mass density = 2.2 g/cm3